Entry 1:
GGA-PBE Nd3Ru, optimized geometry; size of the total moment = 0.00 μB per atom; DOS(E_F) = 35.38 states/eV/cell; energy relative to the elements = -0.11 eV/atom; V = 28.96 A^3/atom
1.0
11.889 0.000 0.000
0.000 11.889 0.000
0.000 0.000 6.556
Nd Ru
24 8
direct
0.031 0.597 0.190
0.097 0.969 0.690
0.111 0.670 0.689
0.121 0.190 0.022
0.170 0.889 0.189
0.190 0.379 0.478
0.310 0.121 0.478
0.330 0.611 0.189
0.379 0.310 0.022
0.389 0.830 0.689
0.403 0.531 0.690
0.469 0.903 0.190
0.531 0.097 0.810
0.597 0.469 0.310
0.611 0.170 0.311
0.621 0.690 0.978
0.670 0.389 0.811
0.690 0.879 0.522
0.810 0.621 0.522
0.830 0.111 0.811
0.879 0.810 0.978
0.889 0.330 0.311
0.903 0.031 0.310
0.969 0.403 0.810
0.055 0.183 0.504
0.183 0.445 0.996
0.317 0.055 0.996
0.445 0.317 0.504
0.555 0.683 0.496
0.683 0.945 0.004
0.817 0.555 0.004
0.945 0.817 0.496

---

Entry 2:
GGA-PBE Tb4Te5P, optimized geometry; size of the total moment = 0.00 μB per atom; DOS(E_F) = 3.89 states/eV/cell; V = 33.00 A^3/atom; formation energy without anion corrections = -1288 meV per atom
1.0
9.332 -2.118 0.000
9.332 2.118 0.000
-1.828 0.000 8.348
Tb Te P
4 5 1
direct
0.001 0.001 0.266
0.340 0.340 0.414
0.660 0.660 0.586
0.999 0.999 0.734
0.164 0.164 0.841
0.169 0.169 0.326
0.500 0.500 0.000
0.831 0.831 0.674
0.836 0.836 0.159
0.500 0.500 0.500

---

Entry 3:
GGA-PBE ReW2, optimized geometry; excess energy over the best structure of this formula in the dataset = 0.0 meV/atom; size of the total moment = 0.00 μB per atom; DOS(E_F) = 2.76 states/eV/cell; energy relative to the elements = 0.05 eV/atom; V = 15.78 A^3/atom
1.0
1.581 -6.698 0.000
1.581 6.698 0.000
0.000 0.000 4.472
Re W
2 4
direct
0.082 0.918 0.750
0.918 0.082 0.250
0.248 0.752 0.250
0.416 0.584 0.750
0.584 0.416 0.250
0.752 0.248 0.750

---

Entry 4:
GGA-PBE GaFeIrI2, optimized geometry; size of the total moment = 0.71 μB per atom; DOS(E_F) = 5.28 states/eV/cell; V = 27.34 A^3/atom; formation energy without anion corrections = 814 meV per atom
1.0
5.422 0.000 0.000
0.000 5.422 0.000
0.000 0.000 4.650
Ga Fe Ir I
1 1 1 2
direct
0.000 0.000 0.000
0.500 0.500 0.000
0.000 0.000 0.500
0.000 0.500 0.500
0.500 0.000 0.500

---

Entry 5:
GGA-PBE LaSeN2F, optimized geometry; excess energy over the best structure of this formula in the dataset = 1302.0 meV/atom; size of the total moment = 0.00 μB per atom; DOS(E_F) = 4.05 states/eV/cell; V = 22.13 A^3/atom; formation energy without anion corrections = 888 meV per atom
1.0
4.082 0.000 0.000
0.000 4.082 0.000
0.000 0.000 6.643
La Se N F
1 1 2 1
direct
0.000 0.000 0.000
0.000 0.000 0.500
0.000 0.500 0.000
0.500 0.000 0.000
0.500 0.500 0.500

---

Entry 6:
GGA-PBE PuInOsRu, optimized geometry; size of the total moment = 0.90 μB per atom; DOS(E_F) = 2.71 states/eV/cell; energy relative to the elements = 0.00 eV/atom; V = 18.07 A^3/atom
1.0
0.000 3.306 3.306
3.306 0.000 3.306
3.306 3.306 0.000
Pu In Os Ru
1 1 1 1
direct
0.000 0.000 0.000
0.500 0.500 0.500
0.250 0.250 0.250
0.750 0.750 0.750

---

Entry 7:
GGA-PBE RbSi3Au3, optimized geometry; size of the total moment = 0.00 μB per atom; DOS(E_F) = 11.15 states/eV/cell; V = 24.47 A^3/atom; formation energy without anion corrections = -4 meV per atom
1.0
6.997 0.000 0.000
0.000 6.997 0.000
0.000 0.000 6.997
Rb Si Au
2 6 6
direct
0.000 0.000 0.000
0.500 0.500 0.500
0.000 0.250 0.500
0.000 0.750 0.500
0.250 0.500 0.000
0.500 0.000 0.250
0.500 0.000 0.750
0.750 0.500 0.000
0.000 0.500 0.250
0.000 0.500 0.750
0.250 0.000 0.500
0.500 0.250 0.000
0.500 0.750 0.000
0.750 0.000 0.500

---

Entry 8:
GGA-PBE Tb2SmHo2, optimized geometry; excess energy over the best structure of this formula in the dataset = 294.1 meV/atom; size of the total moment = 0.00 μB per atom; DOS(E_F) = 8.17 states/eV/cell; energy relative to the elements = 0.38 eV/atom; V = 35.24 A^3/atom
1.0
2.950 -4.459 0.000
2.950 4.459 0.000
0.000 0.000 6.698
Tb Sm Ho
2 1 2
direct
0.000 0.000 0.245
0.000 0.000 0.755
0.500 0.500 0.500
0.334 0.666 0.000
0.666 0.334 0.000

---

Entry 9:
GGA-PBE Bi2TeI, optimized geometry; excess energy over the best structure of this formula in the dataset = 324.1 meV/atom; size of the total moment = 0.00 μB per atom; DOS(E_F) = 5.51 states/eV/cell; V = 36.08 A^3/atom; formation energy without anion corrections = 76 meV per atom
1.0
-4.367 4.367 3.783
4.367 -4.367 3.783
4.367 4.367 -3.783
Bi Te I
4 2 2
direct
0.107 0.625 0.982
0.375 0.357 0.482
0.643 0.125 0.018
0.875 0.893 0.518
0.000 0.000 0.000
0.750 0.250 0.500
0.250 0.750 0.500
0.500 0.500 0.000

---

Entry 10:
GGA-PBE RbYTi, optimized geometry; excess energy over the best structure of this formula in the dataset = 69.6 meV/atom; size of the total moment = 0.08 μB per atom; DOS(E_F) = 5.97 states/eV/cell; energy relative to the elements = 0.34 eV/atom; V = 42.63 A^3/atom
1.0
13.379 -2.275 0.000
13.379 2.275 0.000
-0.017 0.000 4.201
Rb Y Ti
2 2 2
direct
0.173 0.173 0.256
0.827 0.827 0.744
0.448 0.448 0.249
0.552 0.552 0.751
0.029 0.029 0.251
0.971 0.971 0.749

---

Entry 11:
GGA-PBE KTlIr2, optimized geometry; excess energy over the best structure of this formula in the dataset = 811.5 meV/atom; size of the total moment = 0.00 μB per atom; DOS(E_F) = 3.34 states/eV/cell; energy relative to the elements = 1.12 eV/atom; V = 19.62 A^3/atom
1.0
0.000 3.398 3.398
3.398 0.000 3.398
3.398 3.398 0.000
K Tl Ir
1 1 2
direct
0.000 0.000 0.000
0.500 0.500 0.500
0.250 0.250 0.250
0.750 0.750 0.750

---

Entry 12:
GGA-PBE NaSr3Be, optimized geometry; excess energy over the best structure of this formula in the dataset = 664.9 meV/atom; size of the total moment = 0.00 μB per atom; DOS(E_F) = 6.21 states/eV/cell; energy relative to the elements = 0.92 eV/atom; V = 50.83 A^3/atom
1.0
6.334 0.000 0.000
0.000 6.334 0.000
0.000 0.000 6.334
Na Sr Be
1 3 1
direct
0.000 0.000 0.000
0.000 0.000 0.500
0.000 0.500 0.000
0.500 0.000 0.000
0.500 0.500 0.500

---

Repeat the eighth record exactly.
GGA-PBE Tb2SmHo2, optimized geometry; excess energy over the best structure of this formula in the dataset = 294.1 meV/atom; size of the total moment = 0.00 μB per atom; DOS(E_F) = 8.17 states/eV/cell; energy relative to the elements = 0.38 eV/atom; V = 35.24 A^3/atom
1.0
2.950 -4.459 0.000
2.950 4.459 0.000
0.000 0.000 6.698
Tb Sm Ho
2 1 2
direct
0.000 0.000 0.245
0.000 0.000 0.755
0.500 0.500 0.500
0.334 0.666 0.000
0.666 0.334 0.000

---

Question: Which value of V does entry 5 give?
Answer: 22.13 A^3/atom

---

Question: The highest DOS(E_F) belongs to which entry?
Answer: Nd3Ru